# 1
This record from Alexandria describes a relaxed K3Tl2Hg2 crystal. The functional is PBE.

Cell and atoms, written as extended XYZ:
```
7
Lattice="-4.2680 1.8555 -0.3378 2.4570 -1.4160 -6.5934 -3.6824 -7.7921 3.7256" Properties=species:S:1:pos:R:3 pbc="T T T"
K -1.0706 -2.9660 -2.7652
K -4.4229 -4.3866 -0.4403
K -2.1340 0.9277 -0.1689
Tl -4.2136 -4.5853 -4.1764
Tl -1.2799 -2.7673 0.9708
Hg -2.1885 0.0555 -4.2717
Hg -3.3050 -7.4080 1.0661
```

total magnetic moment: 0.00 μB/f.u.
final energy: -1.367 eV per atom
formation energy: -0.13 eV per atom
density of states at the Fermi level: 4.15 states/eV per cell

***

# 2
This record from Alexandria describes a relaxed Cr2InP crystal. The functional is PBE.

Cell and atoms, written as extended XYZ:
```
4
Lattice="-0.3737 -1.2798 -3.0657 -2.7547 -1.7371 -0.7553 -4.1353 4.7591 -3.3196" Properties=species:S:1:pos:R:3 pbc="T T T"
Cr -3.3402 -2.6225 -3.9612
Cr -3.4201 0.4767 -3.4301
In -5.4478 1.3066 -5.3555
P -1.8159 0.4355 -1.7852
```

total magnetic moment: 4.61 μB/f.u.
final energy: -6.809 eV per atom
formation energy: 0.04 eV per atom
density of states at the Fermi level: 2.10 states/eV per cell